[1]
Here is a relaxed AuBrO2 crystal from the Alexandria database. Energies are from PBE.

Structure (CIF):
```
data_AuBrO2
_chemical_formula_sum 'Au4 Br4 O8'
_cell_length_a 5.9721
_cell_length_b 5.9721
_cell_length_c 5.9721
_cell_angle_alpha 90.00
_cell_angle_beta 90.00
_cell_angle_gamma 90.00
_space_group_name_H-M_alt 'P 1'
_space_group_IT_number 1
loop_
_space_group_symop_operation_xyz
'x,y,z'
loop_
_atom_site_label
_atom_site_fract_x
_atom_site_fract_y
_atom_site_fract_z
Au1 0.0000 0.0000 0.0000
Au2 0.0000 0.5000 0.5000
Au3 0.5000 0.0000 0.5000
Au4 0.5000 0.5000 0.0000
Br1 0.0000 0.0000 0.5000
Br2 0.0000 0.5000 0.0000
Br3 0.5000 0.0000 0.0000
Br4 0.5000 0.5000 0.5000
O1 0.2500 0.2500 0.2500
O2 0.2500 0.2500 0.7500
O3 0.2500 0.7500 0.2500
O4 0.2500 0.7500 0.7500
O5 0.7500 0.2500 0.2500
O6 0.7500 0.2500 0.7500
O7 0.7500 0.7500 0.2500
O8 0.7500 0.7500 0.7500
```

## Properties
crystal system: cubic
E_form (uncorrected): 1142 meV/atom

[2]
Here is a relaxed BaC3 crystal from the Alexandria database. Energies are from PBE.

Structure (CIF):
```
data_BaC3
_chemical_formula_sum 'Ba1 C3'
_cell_length_a 2.7389
_cell_length_b 6.1306
_cell_length_c 4.7130
_cell_angle_alpha 90.00
_cell_angle_beta 90.00
_cell_angle_gamma 90.00
_space_group_name_H-M_alt 'P 1'
_space_group_IT_number 1
loop_
_space_group_symop_operation_xyz
'x,y,z'
loop_
_atom_site_label
_atom_site_fract_x
_atom_site_fract_y
_atom_site_fract_z
Ba1 0.0000 0.0000 0.0000
C1 0.0000 0.5000 0.9971
C2 0.5000 0.0000 0.5000
C3 0.5000 0.5000 0.9972
```

## Properties
crystal system: orthorhombic
polymorph energy (0 for the lowest one): 1498 meV/atom
formation energy: 1.764 eV/atom

[3]
Here is a relaxed PuGePd3 crystal from the Alexandria database. Energies are from PBE.

Structure (CIF):
```
data_PuGePd3
_chemical_formula_sum 'Pu2 Ge2 Pd6'
_cell_length_a 4.6160
_cell_length_b 6.3513
_cell_length_c 6.2678
_cell_angle_alpha 90.00
_cell_angle_beta 90.00
_cell_angle_gamma 90.00
_space_group_name_H-M_alt 'P 1'
_space_group_IT_number 1
loop_
_space_group_symop_operation_xyz
'x,y,z'
loop_
_atom_site_label
_atom_site_fract_x
_atom_site_fract_y
_atom_site_fract_z
Pu1 0.2500 0.2500 0.2113
Pu2 0.7500 0.7500 0.7887
Ge1 0.2500 0.7500 0.4458
Ge2 0.7500 0.2500 0.5542
Pd1 0.2500 0.0417 0.7153
Pd2 0.2500 0.4583 0.7153
Pd3 0.2500 0.7500 0.0631
Pd4 0.7500 0.2500 0.9369
Pd5 0.7500 0.5417 0.2847
Pd6 0.7500 0.9583 0.2847
```

## Properties
crystal system: orthorhombic
formation energy: -0.484 eV/atom

no.,total DFT energy (no corrections) (eV per atom),calculated density (Mg/m³),M_tot (Bohr magnetons per cell)
1,-2.5749,9.6,0.00
2,-5.6350,3.6,0.57
3,-7.3891,11.5,10.50